[1]
Compound: ScCoTc2C
Source: Alexandria via LeMat-Bulk
Functional: GGA-PBE
Structure: relaxed

Electronic total energy   -8.83 eV per atom

a b c (Å): 4.1508 4.1508 3.8054
angles (deg): 90.00 90.00 90.00
Sites, in units of the cell vectors:
Sc 0.5000 0.5000 0.5000
C 0.0000 0.0000 0.0000
Co 0.0000 0.0000 0.5000
Tc 0.0000 0.5000 0.0000
Tc 0.5000 0.0000 0.0000

[2]
Compound: Ac2AgBr8
Source: Alexandria via LeMat-Bulk
Functional: GGA-PBE
Structure: relaxed

Electronic total energy   -3.74 eV per atom
Energy relative to the elements, uncorrected   -1.516 eV/atom

a b c (Å): 4.3763 8.6538 10.1231
angles (deg): 95.70 102.48 90.00
Site moments in Bohr magnetons follow the coordinates.
Sites, in units of the cell vectors:
Ac 0.8119 0.2699 0.6239  0.00
Ac 0.1881 0.7301 0.3761  0.00
Ag 0.5000 0.0000 0.0000  0.14
Br 0.4022 0.4342 0.8043  0.04
Br 0.6736 0.9913 0.3472  0.00
Br 0.7939 0.6545 0.5878  0.00
Br 0.9788 0.1802 0.9575  0.19
Br 0.2061 0.3455 0.4122  0.00
Br 0.3264 0.0087 0.6528  0.00
Br 0.5978 0.5658 0.1957  0.04
Br 0.0212 0.8198 0.0425  0.19

[3]
Compound: Sc4Mo3
Source: Alexandria via LeMat-Bulk
Functional: GGA-PBE
Structure: relaxed

E above lowest polymorph   46 meV per atom
Electronic total energy   -8.16 eV per atom

a b c (Å): 5.3398 5.3398 5.6132
angles (deg): 90.00 90.00 120.00
Sites, in units of the cell vectors:
Sc 0.0000 0.0000 0.2502
Sc 0.0000 0.0000 0.7498
Sc 0.6667 0.3333 0.5000
Sc 0.3333 0.6667 0.5000
Mo 0.0000 0.5000 0.0000
Mo 0.5000 0.5000 0.0000
Mo 0.5000 0.0000 0.0000

Number 1: DOS at the Fermi energy 1.42 states/eV/atom, spin magnetization 0.06 μB/f.u.. Number 2: DOS at the Fermi energy 0.38 states/eV/atom, spin magnetization 0.74 μB/f.u.. Number 3: DOS at the Fermi energy 1.44 states/eV/atom, spin magnetization 0.00 μB/f.u..